No. 1
Entry from Alexandria via LeMat-Bulk: an optimized crystal structure of AsSO2F (PBE).

Lattice parameters (Å, degrees): 3.4708 3.4708 6.6573 90.00 90.00 90.00
With the nearest neighbours (Å) after each atom.
Element x y z (fractional)
As 0.0000 0.0000 0.0000  4 F 2.45
S 0.5000 0.5000 0.5000  4 O 1.74
O 0.0000 0.5000 0.5000  2 S 1.74
O 0.5000 0.0000 0.5000  2 S 1.74
F 0.5000 0.5000 0.0000  4 As 2.45

Output
Its energy relative to the elements, uncorrected is 0.0342 eV/atom. Its symmetry is P4/mmm.

No. 2
Entry from Alexandria via LeMat-Bulk: an optimized crystal structure of SrMn2Cd (PBE).

Lattice parameters (Å, degrees): 6.5169 6.5169 6.5169 143.12 141.21 54.60
With the nearest neighbours (Å) after each atom.
Element x y z (fractional)
Sr 0.0000 0.0000 0.0000  6 Mn 3.27-3.47, 4 Cd 3.51-3.66
Mn 0.6153 0.6153 0.0000  2 Mn 2.65, 2 Cd 2.75
Mn 0.7588 0.2588 0.5000  2 Mn 2.65
Cd 0.2612 0.7612 0.5000  6 Mn 2.75-2.99

Output
As for the formation energy from the elements: 2.15 eV per formula unit. Its symmetry is Imm2.

No. 3
Entry from Alexandria via LeMat-Bulk: an optimized crystal structure of Ba2NaZn3Bi4 (PBE).

Lattice parameters (Å, degrees): 5.1948 5.1948 11.5176 90.00 90.00 90.00
With the nearest neighbours (Å) after each atom.
Element x y z (fractional)
Ba 0.0000 0.5000 0.2427  8 Bi 3.82-3.91, 7 Zn 3.94-4.17, 2 Na 3.94
Ba 0.5000 0.0000 0.7573  8 Bi 3.82-3.91, 7 Zn 3.94-4.17, 2 Na 3.94
Na 0.0000 0.0000 0.5000  4 Bi 3.06
Zn 0.0000 0.5000 0.8809  5 Bi 2.76-2.94
Zn 0.5000 0.0000 0.1191  5 Bi 2.76-2.94
Zn 0.5000 0.5000 0.5000  4 Bi 3.06
Bi 0.0000 0.0000 0.0000  4 Zn 2.94
Bi 0.0000 0.5000 0.6412  3 Zn 2.76-3.06, 2 Na 3.06
Bi 0.5000 0.0000 0.3588  3 Zn 2.76-3.06, 2 Na 3.06
Bi 0.5000 0.5000 0.0000  4 Zn 2.94

Output
As for the formation energy from the elements: -4.08 eV per formula unit. Its symmetry is P-4m2.

No. 4
Entry from Alexandria via LeMat-Bulk: an optimized crystal structure of Co3Ir12Rh4 (PBE).

Lattice parameters (Å, degrees): 7.9998 7.9998 7.9998 109.47 109.47 109.47
With the nearest neighbours (Å) after each atom.
Element x y z (fractional)
Co 0.0000 0.5000 0.5000  4 Ir 2.40
Co 0.5000 0.0000 0.5000  4 Ir 2.40
Co 0.5000 0.5000 0.0000  4 Ir 2.40
Ir 0.0856 0.7215 0.3641  1 Co 2.40, 1 Ir 2.51, 2 Rh 2.55
Ir 0.2785 0.3641 0.6427  1 Co 2.40, 1 Ir 2.51, 2 Rh 2.55
Ir 0.2785 0.6359 0.9144  1 Co 2.40, 1 Ir 2.51, 2 Rh 2.55
Ir 0.3573 0.7215 0.6359  1 Co 2.40, 1 Ir 2.51, 2 Rh 2.55
Ir 0.3641 0.0856 0.7215  1 Co 2.40, 1 Ir 2.51, 2 Rh 2.55
Ir 0.3641 0.6427 0.2785  1 Co 2.40, 1 Ir 2.51, 2 Rh 2.55
Ir 0.6359 0.3573 0.7215  1 Co 2.40, 1 Ir 2.51, 2 Rh 2.55
Ir 0.6359 0.9144 0.2785  1 Co 2.40, 1 Ir 2.51, 2 Rh 2.55
Ir 0.6427 0.2785 0.3641  1 Co 2.40, 1 Ir 2.51, 2 Rh 2.55
Ir 0.7215 0.3641 0.0856  1 Co 2.40, 1 Ir 2.51, 2 Rh 2.55
Ir 0.7215 0.6359 0.3573  1 Co 2.40, 1 Ir 2.51, 2 Rh 2.55
Ir 0.9144 0.2785 0.6359  1 Co 2.40, 1 Ir 2.51, 2 Rh 2.55
Rh 0.0000 0.0000 0.5000  6 Ir 2.55
Rh 0.0000 0.5000 0.0000  6 Ir 2.55
Rh 0.5000 0.0000 0.0000  6 Ir 2.55
Rh 0.5000 0.5000 0.5000  6 Ir 2.55

Output
As for the formation energy from the elements: 14.18 eV per formula unit. Its symmetry is Im-3.

Total DFT energy (no corrections), respectively: -4.08, -4.70, -2.86, -7.52 eV per atom.
Magnetization, respectively: 1.4, 7.8, 0.0, 4.7 μB/cell.